Material: Mn3GeC
Method: DFT, PBEsol
State: relaxed

```
Mn3GeC
1.0
-2.595 2.595 3.951
2.595 -2.595 3.951
2.595 2.595 -3.951
Mn Ge C
6 2 2
Cartesian
3.535 0.940 0.000 Mn
0.000 0.000 1.975 Mn
0.940 1.655 0.000 Mn
1.655 0.940 3.951 Mn
0.000 0.000 5.926 Mn
-0.940 1.655 3.951 Mn
2.595 0.000 1.975 Ge
0.000 2.595 1.975 Ge
0.000 0.000 0.000 C
0.000 0.000 3.951 C
```

Computed properties:
ΔE_f = -0.16 eV/atom
density of states at the Fermi level = 0.526 states/eV/atom
spin magnetization = 1.81 μB/cell

Material: Mn3GeC
Method: DFT, PBEsol
State: relaxed

```
Mn3GeC
1.0
3.745 0.000 0.000
0.000 3.745 0.000
0.000 0.000 3.745
Mn Ge C
3 1 1
Cartesian
0.000 0.000 1.872 Mn
0.000 1.872 0.000 Mn
1.872 0.000 0.000 Mn
1.872 1.872 1.872 Ge
0.000 0.000 0.000 C
```

Computed properties:
ΔE_f = -0.10 eV/atom
density of states at the Fermi level = 0.717 states/eV/atom
spin magnetization = 2.82 μB/cell

Material: MnGe3C
Method: DFT, PBEsol
State: relaxed

```
MnGe3C
1.0
4.273 0.000 0.000
0.000 4.273 0.000
0.000 0.000 4.273
Mn Ge C
1 3 1
Cartesian
0.000 0.000 0.000 Mn
0.000 2.136 2.136 Ge
2.136 0.000 2.136 Ge
2.136 2.136 0.000 Ge
2.136 2.136 2.136 C
```

Computed properties:
ΔE_f = 1.05 eV/atom
density of states at the Fermi level = 0.563 states/eV/atom
spin magnetization = 3.75 μB/cell

Material: GeWC2N
Method: DFT, PBEsol
State: relaxed

```
GeWC2N
1.0
4.120 0.000 0.000
0.000 4.120 0.000
0.000 0.000 3.897
Ge W C N
1 1 2 1
Cartesian
0.000 0.000 0.000 Ge
2.060 2.060 1.948 W
0.000 2.060 1.948 C
2.060 0.000 1.948 C
2.060 2.060 0.000 N
```

Computed properties:
density of states at the Fermi level = 0.607 states/eV/atom
spin magnetization = 0.00 μB/cell

Material: Na2GeC
Method: DFT, PBEsol
State: relaxed

```
Na2GeC
1.0
3.655 0.000 0.000
0.000 3.655 0.000
0.000 0.000 19.093
Na Ge C
8 4 4
Cartesian
0.801 0.914 2.387 Na
0.914 2.628 7.160 Na
0.914 2.854 16.706 Na
1.027 0.914 11.933 Na
2.628 2.741 11.933 Na
2.741 0.801 16.706 Na
2.741 1.027 7.160 Na
2.854 2.741 2.387 Na
0.000 0.000 9.546 Ge
0.000 1.828 14.320 Ge
1.828 0.000 4.773 Ge
1.828 1.828 0.000 Ge
0.000 0.000 0.000 C
0.000 1.828 4.773 C
1.828 0.000 14.320 C
1.828 1.828 9.546 C
```

Computed properties:
ΔE_f = 1.26 eV/atom
E above lowest polymorph = 0.000 eV/atom
density of states at the Fermi level = 0.427 states/eV/atom
spin magnetization = 0.00 μB/cell

Material: Na2GeC
Method: DFT, PBEsol
State: relaxed

```
Na2GeC
1.0
6.435 0.000 0.000
0.000 6.435 0.000
0.000 0.000 6.435
Na Ge C
8 4 4
Cartesian
1.609 1.609 1.609 Na
1.609 1.609 4.826 Na
1.609 4.826 1.609 Na
1.609 4.826 4.826 Na
4.826 1.609 1.609 Na
4.826 1.609 4.826 Na
4.826 4.826 1.609 Na
4.826 4.826 4.826 Na
0.000 0.000 0.000 Ge
0.000 3.218 3.218 Ge
3.218 0.000 3.218 Ge
3.218 3.218 0.000 Ge
0.000 0.000 3.218 C
0.000 3.218 0.000 C
3.218 0.000 0.000 C
3.218 3.218 3.218 C
```

Computed properties:
ΔE_f = 1.28 eV/atom
E above lowest polymorph = 0.016 eV/atom
density of states at the Fermi level = 0.261 states/eV/atom
spin magnetization = 0.19 μB/cell

Material: Nb10Ge6C
Method: DFT, PBEsol
State: relaxed

```
Nb10Ge6C
1.0
7.645 0.000 0.000
-3.822 6.620 0.000
0.000 0.000 5.295
Nb Ge C
10 6 1
Cartesian
-0.911 1.577 1.361 Nb
-2.912 5.043 3.934 Nb
1.822 0.000 1.361 Nb
0.911 1.577 3.934 Nb
0.000 4.414 0.000 Nb
0.000 4.414 2.647 Nb
3.822 2.207 0.000 Nb
3.822 2.207 2.647 Nb
5.823 0.000 3.934 Nb
2.912 5.043 1.361 Nb
-1.522 2.636 4.003 Ge
-2.300 3.984 1.291 Ge
3.044 0.000 4.003 Ge
1.522 2.636 1.291 Ge
4.600 0.000 1.291 Ge
2.300 3.984 4.003 Ge
0.000 0.000 2.647 C
```

Computed properties:
ΔE_f = -0.61 eV/atom
density of states at the Fermi level = 0.519 states/eV/atom
spin magnetization = 0.00 μB/cell

Material: Nb2GeC
Method: DFT, PBEsol
State: relaxed

```
Nb2GeC
1.0
3.226 0.000 0.000
-1.613 2.794 0.000
0.000 0.000 12.589
Nb Ge C
4 2 2
Cartesian
0.000 1.863 1.171 Nb
0.000 1.863 5.124 Nb
1.613 0.931 7.466 Nb
1.613 0.931 11.418 Nb
0.000 1.863 9.442 Ge
1.613 0.931 3.147 Ge
0.000 0.000 0.000 C
0.000 0.000 6.295 C
```

Computed properties:
ΔE_f = -0.59 eV/atom
density of states at the Fermi level = 0.404 states/eV/atom
spin magnetization = 0.00 μB/cell

| no. | total DFT energy (no corrections) (eV per cell) |
| --- | --- |
| 1 | -89.3 |
| 2 | -44.3 |
| 3 | -29.0 |
| 4 | -39.5 |
| 5 | -49.3 |
| 6 | -49.1 |
| 7 | -157.8 |
| 8 | -77.2 |